DFT (GGA-PBE) results for crystalline LiMgH4Ir at its relaxed geometry.

a b c (Å): 5.3835 4.6863 5.4869
angles (deg): 90.00 100.27 90.00
Last column: nearest neighbours and their distance in Å.
Space group P2_1/m (No. 11)
One atom of each set of equivalent atoms:
Li (0.0632, 0.2500, 0.3640) [2 per cell]  4 H 2.00-2.13
Mg (0.3494, 0.7500, 0.0698) [2 per cell]  6 H 2.13-2.38
H (0.1190, 0.7500, 0.3486) [2 per cell]  1 Ir 1.68
H (0.2653, 0.0115, 0.7227) [4 per cell]  1 Ir 1.66
H (0.3465, 0.2500, 0.1449) [2 per cell]  1 Ir 1.68
Ir (0.1325, 0.2500, 0.8820) [2 per cell]  4 H 1.66-1.68

Total energy: -4.11 eV per atom

DFT (GGA-PBE) results for crystalline ScTa2 at its relaxed geometry.

a b c (Å): 3.4897 3.4897 9.9710
angles (deg): 90.00 90.00 90.00
Last column: nearest neighbours and their distance in Å.
Space group I4/mmm (No. 139)
One atom of each set of equivalent atoms:
Sc (0.0000, 0.0000, 0.0000) [2 per cell]  10 Ta 3.10
Ta (0.0000, 0.0000, 0.3113) [4 per cell]  4 Ta 2.75

ΔH_f (0 K): 0.5 eV/f.u.
Energy above the most stable polymorph in this dataset: 0.000 eV/atom
Fermi-level density of states: 6.00 states/eV/cell

DFT (GGA-PBE) results for crystalline Er2Ga2Cu3 at its relaxed geometry.

a b c (Å): 4.0936 18.5987 3.3526
angles (deg): 90.00 90.00 90.00
Last column: nearest neighbours and their distance in Å.
Space group Cmmm (No. 65)
One atom of each set of equivalent atoms:
Er (0.0000, 0.1466, 0.0000) [4 per cell]  1 Cu 2.73, 4 Ga 2.90
Ga (0.0000, 0.2892, 0.5000) [4 per cell]  2 Ga 2.51, 1 Cu 2.73
Cu (0.0000, 0.0000, 0.0000) [2 per cell]  2 Er 2.73, 8 Cu 2.90
Cu (0.0000, 0.4359, 0.5000) [4 per cell]  1 Cu 2.39

ΔH_f (0 K): -1.3 eV/f.u.
Fermi-level density of states: 6.95 states/eV/cell

DFT (GGA-PBE) results for crystalline Sr2In6PdPt at its relaxed geometry.

a b c (Å): 10.4909 10.4909 10.4909
angles (deg): 90.00 90.00 90.00
Last column: nearest neighbours and their distance in Å.
Space group Fm-3m (No. 225)
One atom of each set of equivalent atoms:
Sr (0.2500, 0.2500, 0.2500) [8 per cell]  12 In 3.71
In (0.0000, 0.0000, 0.2488) [24 per cell]  1 Pd 2.61, 1 Pt 2.64
Pd (0.0000, 0.0000, 0.0000) [4 per cell]  6 In 2.61
Pt (0.0000, 0.0000, 0.5000) [4 per cell]  6 In 2.64

ΔH_f (0 K): -3.0 eV/f.u.
Fermi-level density of states: 24.62 states/eV/cell